(1)
This record from Alexandria via LeMat-Bulk describes crystalline Pm7YHo4 at its relaxed geometry. The functional is PBE.

a = 7.265 Å, b = 6.297 Å, c = 11.528 Å
α = 79.54°, β = 50.96°, γ = 90.02°
Element x y z (fractional)
1 Pm 0.084 0.280 0.665
2 Pm 0.746 0.501 0.001
3 Pm 0.254 0.499 0.999
4 Pm 0.916 0.720 0.335
5 Pm 0.335 0.778 0.665
6 Pm 0.665 0.222 0.335
7 Pm 0.500 0.000 0.000
8 Ho 0.165 0.220 0.335
9 Ho 0.586 0.278 0.667
10 Ho 0.414 0.722 0.333
11 Ho 0.835 0.780 0.665
12 Y 0.000 0.000 0.000

## Properties
Offset from the most stable computed form: 0.00 eV/f.u.
ΔH_f (0 K): 3 meV per atom
Fermi-level density of states: 15.14 states/eV/cell

(2)
This record from Alexandria via LeMat-Bulk describes crystalline Dy2Al3Cd at its relaxed geometry. The functional is PBE.

a = 5.845 Å, b = 5.845 Å, c = 8.751 Å
α = 104.25°, β = 104.25°, γ = 105.25°
Element x y z (fractional)
1 Al 0.836 0.836 0.672
2 Al 0.836 0.328 0.164
3 Al 0.164 0.672 0.836
4 Al 0.672 0.164 0.836
5 Al 0.328 0.836 0.164
6 Al 0.164 0.164 0.328
7 Cd 0.667 0.667 0.333
8 Cd 0.333 0.333 0.667
9 Dy 0.249 0.249 0.000
10 Dy 0.750 0.250 0.500
11 Dy 0.751 0.751 0.000
12 Dy 0.250 0.750 0.500

## Properties
Offset from the most stable computed form: 0.00 eV/f.u.
ΔH_f (0 K): -430 meV per atom
Fermi-level density of states: 6.44 states/eV/cell

(3)
This record from Alexandria via LeMat-Bulk describes crystalline PrTm5Sc at its relaxed geometry. The functional is PBE.

a = 3.538 Å, b = 9.111 Å, c = 13.575 Å
α = 102.50°, β = 90.00°, γ = 90.00°
Each line ends with the local moment (μB).
Element x y z (fractional)
1 Tm 0.250 0.673 0.493  0.13
2 Tm 0.750 0.650 0.279  0.01
3 Tm 0.250 0.350 0.721  0.01
4 Tm 0.250 0.004 0.372  0.04
5 Tm 0.750 0.206 0.884  -0.02
6 Tm 0.750 0.996 0.628  0.04
7 Tm 0.750 0.580 0.917  -0.01
8 Tm 0.750 0.327 0.507  0.13
9 Tm 0.250 0.420 0.083  -0.01
10 Tm 0.250 0.794 0.116  -0.02
11 Pr 0.750 0.112 0.137  0.00
12 Pr 0.250 0.888 0.863  0.00
13 Sc 0.750 0.646 0.690  0.09
14 Sc 0.250 0.354 0.310  0.09

## Properties
Offset from the most stable computed form: 0.00 eV/f.u.
ΔH_f (0 K): 64 meV per atom
Fermi-level density of states: 21.21 states/eV/cell

(4)
This record from Alexandria via LeMat-Bulk describes crystalline Zn2RuW at its relaxed geometry. The functional is PBE.

a = 2.682 Å, b = 2.682 Å, c = 8.697 Å
α = 90.00°, β = 90.00°, γ = 108.85°
Each line ends with the local moment (μB).
Element x y z (fractional)
1 W 0.500 0.500 0.750  0.03
2 Ru 0.500 0.500 0.250  0.76
3 Zn 0.000 0.000 0.492  -0.01
4 Zn 0.000 0.000 0.008  -0.01

## Properties
Offset from the most stable computed form: 0.95 eV/f.u.
ΔH_f (0 K): 258 meV per atom
Fermi-level density of states: 3.47 states/eV/cell

(5)
This record from Alexandria via LeMat-Bulk describes crystalline YNbCo at its relaxed geometry. The functional is PBE.

a = 5.119 Å, b = 5.119 Å, c = 5.451 Å
α = 105.82°, β = 105.82°, γ = 114.81°
Element x y z (fractional)
1 Nb 0.169 0.169 0.338
2 Nb 0.831 0.831 0.662
3 Y 0.674 0.326 0.000
4 Y 0.326 0.674 0.000
5 Co 0.750 0.250 0.500
6 Co 0.250 0.750 0.500

## Properties
Offset from the most stable computed form: 0.03 eV/f.u.
ΔH_f (0 K): 11 meV per atom
Fermi-level density of states: 6.94 states/eV/cell

| no. | uncorrected energy (eV/atom) |
| --- | --- |
| 1 | -4.833 |
| 2 | -3.988 |
| 3 | -4.717 |
| 4 | -5.936 |
| 5 | -7.869 |